(1)
# CoCu2Tc PBE-GGA optimized geometry
# Calculated total energy: -24.6 eV for the cell shown
# ρ: 9398 kg/m3
data_CoCu2Tc
_chemical_formula_sum 'Co1 Cu2 Tc1'
_cell_length_a 2.4811
_cell_length_b 4.2449
_cell_length_c 4.8484
_cell_angle_alpha 90.00
_cell_angle_beta 100.65
_cell_angle_gamma 90.00
_space_group_name_H-M_alt 'P 1 2/m 1'
_space_group_IT_number 10
_space_group_name_Hall '-P 2y'
loop_
_atom_site_label
_atom_site_type_symbol
_atom_site_fract_x
_atom_site_fract_y
_atom_site_fract_z
Co1 Co 0.0000 0.0000 0.0000
Cu1 Cu 0.1810 0.5000 0.7576
Tc1 Tc 0.5000 0.0000 0.5000

***

(2)
# CoCu2Tc PBE-GGA optimized geometry
# Calculated total energy: -73.8 eV for the cell shown
# ρ: 9341 kg/m3
data_CoCu2Tc
_chemical_formula_sum 'Co3 Cu6 Tc3'
_cell_length_a 2.6042
_cell_length_b 2.6042
_cell_length_c 25.7887
_cell_angle_alpha 90.00
_cell_angle_beta 90.00
_cell_angle_gamma 120.00
_space_group_name_H-M_alt 'R -3 m'
_space_group_IT_number 166
_space_group_name_Hall '-R 3 2"'
loop_
_atom_site_label
_atom_site_type_symbol
_atom_site_fract_x
_atom_site_fract_y
_atom_site_fract_z
Co1 Co 0.0000 0.0000 0.0000
Cu1 Cu 0.0000 0.0000 0.2532
Tc1 Tc 0.0000 0.0000 0.5000

***

(3)
# CoCu2Tc PBE-GGA optimized geometry
# Calculated total energy: -49.2 eV for the cell shown
# ρ: 9628 kg/m3
data_CoCu2Tc
_chemical_formula_sum 'Co2 Cu4 Tc2'
_cell_length_a 3.7128
_cell_length_b 3.7128
_cell_length_c 7.1074
_cell_angle_alpha 90.00
_cell_angle_beta 90.00
_cell_angle_gamma 90.00
_space_group_name_H-M_alt 'I -4 m 2'
_space_group_IT_number 119
_space_group_name_Hall 'I -4 -2'
loop_
_atom_site_label
_atom_site_type_symbol
_atom_site_fract_x
_atom_site_fract_y
_atom_site_fract_z
Co1 Co 0.0000 0.0000 0.0000
Cu1 Cu 0.0000 0.0000 0.5000
Cu2 Cu 0.0000 0.5000 0.7500
Tc1 Tc 0.0000 0.5000 0.2500